one) SbO2F: optimized geometry, GGA-PBE.

```
SbO2F
1.0
5.130 0.009 -0.006
-2.730 4.821 -0.011
2.424 -1.513 4.261
Sb O F
2 4 2
Direct
0.688 0.150 0.752 Sb
0.252 0.650 0.188 Sb
0.092 0.414 0.829 O
0.460 0.401 0.114 O
0.329 0.914 0.592 O
0.614 0.901 0.960 O
0.851 0.399 0.456 F
0.956 0.899 0.351 F
```

Results
Its space group is Cc (9).


two) SbO2F: optimized geometry, GGA-PBE.

```
SbO2F
1.0
-2.518 2.046 -1.003
-2.682 0.508 2.020
0.396 4.420 2.270
Sb O F
1 2 1
Direct
0.000 0.000 0.000 Sb
0.276 0.276 0.173 O
0.724 0.724 0.827 O
0.500 0.500 0.500 F
```

Results
Its space group is R-3m (166).


Energetically preferred structure: one) | next structure: +0.621 eV/atom